This record from Alexandria describes Li2HSeO4 after structural relaxation. The functional is PBE.

Values from the calculation:
Its calculated total energy is -0.186 Ha/atom. As for the total moment: 0.00 Bohr magnetons per cell.

Lattice parameters (Å, degrees): 10.6594 6.5045 6.6988 90.00 127.33 90.00
With the nearest neighbours (Å) after each atom.
Space group Cm (No. 8)
Inequivalent atoms, fractional coordinates:
Li  0.0000  0.0000  0.0000  4 O 1.97-2.17
Li  0.0354  0.5000  0.5171  2 O 1.88-1.95
Li  0.2493  0.2650  0.0324  4 O 2.05-2.13
H  0.1258  0.2666  0.3196  1 O 1.00
Se  0.0462  0.0000  0.5288  4 O 1.66-1.69
Se  0.4772  0.0000  0.9613  4 O 1.78-1.93
O  0.0860  0.5000  0.8387  1 Se 1.78, 1 Li 1.88
O  0.1082  0.2705  0.1549  1 H 1.00
O  0.1568  0.2126  0.6022  1 Se 1.69, 1 H 1.75
O  0.3961  0.0000  0.1517  1 Se 1.93, 3 Li 1.95-2.13
O  0.4084  0.5000  0.2139  1 Se 1.69
O  0.4663  0.5000  0.6770  1 Se 1.66